[1]
Density functional theory data (GGA-PBE) for an optimized crystal structure of CsCu3IrS4.

Lattice parameters (Å, degrees): 6.0481 6.0481 6.0481 90.00 90.00 90.00
Site moments in Bohr magnetons follow the coordinates.
Fractional positions:
Cs1 0.0000 0.0000 0.0000  0.01
Cu1 0.5000 0.5000 0.0000  0.01
Cu2 0.5000 0.0000 0.5000  0.01
Cu3 0.0000 0.5000 0.5000  0.03
Ir1 0.5000 0.5000 0.5000  0.22
S1 0.2867 0.2867 0.2867  0.03
S2 0.7133 0.7133 0.2867  0.03
S3 0.7133 0.2867 0.7133  0.02
S4 0.2867 0.7133 0.7133  0.03

Calculated values
calculated volume: 221.2 Å³/f.u.
calculated total energy: -37.86 eV for the cell shown
SG: P-43m (215)
crystal system: cubic



[2]
Density functional theory data (GGA-PBE) for an optimized crystal structure of La3In3AgPd2.

Lattice parameters (Å, degrees): 7.8349 7.8349 4.2022 90.00 90.00 120.00
Fractional positions:
Ag1 0.0000 0.0000 0.0000
In1 0.2530 0.0000 0.5000
In2 0.0000 0.2530 0.5000
In3 0.7470 0.7470 0.5000
La1 0.5812 0.0000 0.0000
La2 0.4188 0.4188 0.0000
La3 0.0000 0.5812 0.0000
Pd1 0.6667 0.3333 0.5000
Pd2 0.3333 0.6667 0.5000

Calculated values
calculated volume: 223.4 Å³/f.u.
calculated total energy: -42.51 eV for the cell shown
SG: P-62m (189)
crystal system: hexagonal



[3]
Density functional theory data (GGA-PBE) for an optimized crystal structure of Co2SiIr.

Lattice parameters (Å, degrees): 4.0804 4.0804 4.0804 60.00 60.00 60.00
Site moments in Bohr magnetons follow the coordinates.
Fractional positions:
Co1 0.0000 0.0000 0.0000  1.46
Co2 0.7500 0.7500 0.7500  1.30
Ir1 0.2500 0.2500 0.2500  0.37
Si1 0.5000 0.5000 0.5000  -0.01

Calculated values
calculated volume: 48.0 Å³/f.u.
calculated total energy: -29.40 eV for the cell shown
SG: F-43m (216)
crystal system: cubic